## Nd2TlIn4 (PBE)

Data for Nd2TlIn4 after structural relaxation.

The calculation puts the total moment at 0.00 Bohr magnetons per cell. The formation energy comes out at -0.31 eV/atom. Its crystal system is monoclinic. The raw total energy comes out at -3.58 eV/atom.

The space group is C2/m (No. 12) and the conventional cell measures 9.192, 9.195 and 6.685 Å, with angles of 90.00, 133.30 and 90.00 degrees. The asymmetric unit holds Nd at (0.250, 0.250, 0.000), Tl at (0.000, 0.000, 0.000), In at (0.000, 0.000, 0.500), In at (0.000, 0.500, 0.500) and In at (0.250, 0.250, 0.500).


## NdTl2In (PBE)

Data for NdTl2In after structural relaxation.

The calculation puts the total moment at 0.00 Bohr magnetons per cell. The formation energy comes out at 0.08 eV/atom. Its crystal system is trigonal. The raw total energy comes out at -2.98 eV/atom.

The space group is R-3m (No. 166, hexagonal axes) and the conventional cell measures 3.5410, 3.5410 and 35.0365 Å, with angles of 90.00, 90.00 and 120.00 degrees. The asymmetric unit holds Nd at (0.0000, 0.0000, 0.0000), Tl at (0.0000, 0.0000, 0.0915) and In at (0.0000, 0.0000, 0.5000).


## Nd4TlIn2 (PBE)

Data for Nd4TlIn2 after structural relaxation.

The calculation puts the total moment at 0.00 Bohr magnetons per cell. The formation energy comes out at -0.20 eV/atom. Its crystal system is monoclinic. The raw total energy comes out at -4.05 eV/atom. The distance to the lowest polymorph of the same formula is 0.1102 eV per atom.

The space group is P2_1/m (No. 11) and the conventional cell measures 7.567, 6.743 and 9.314 Å, with angles of 90.00, 109.32 and 90.00 degrees. The asymmetric unit holds Nd at (0.083, 0.250, 0.049), Nd at (0.168, 0.007, 0.722), Nd at (0.324, 0.750, 0.342), Tl at (0.497, 0.250, 0.291), In at (0.215, 0.250, 0.437) and In at (0.443, 0.750, 0.034).


## Nd8Tl2In (PBE)

Data for Nd8Tl2In after structural relaxation.

The calculation puts the total moment at 0.00 Bohr magnetons per cell. The formation energy comes out at -0.14 eV/atom. Its crystal system is monoclinic. The raw total energy comes out at -4.28 eV/atom. The distance to the lowest polymorph of the same formula is 0.0805 eV per atom.

The space group is C2/m (No. 12) and the conventional cell measures 9.060, 15.321 and 5.759 Å, with angles of 90.00, 114.99 and 90.00 degrees. The asymmetric unit holds Nd at (0.000, 0.220, 0.000), Nd at (0.100, 0.500, 0.802), Nd at (0.202, 0.111, 0.591), Tl at (0.000, 0.306, 0.500) and In at (0.000, 0.000, 0.000).


## Nd12Tl6In (PBE)

Data for Nd12Tl6In after structural relaxation.

The calculation puts the total moment at 0.00 Bohr magnetons per cell. The formation energy comes out at -0.12 eV/atom. Its crystal system is trigonal. The raw total energy comes out at -4.02 eV/atom.

The space group is R-3 (No. 148, hexagonal axes) and the conventional cell measures 14.7661, 14.7661 and 9.8916 Å, with angles of 90.00, 90.00 and 120.00 degrees. The asymmetric unit holds Nd at (0.0541, 0.7944, 0.4170), Nd at (0.0535, 0.8660, 0.7610), Tl at (0.0668, 0.8248, 0.0763) and In at (0.0000, 0.0000, 0.5000).


## Nd6Tl2In3 (PBE)

Data for Nd6Tl2In3 after structural relaxation.

The calculation puts the total moment at 0.00 Bohr magnetons per cell. The formation energy comes out at 0.01 eV/atom. Its crystal system is tetragonal. The raw total energy comes out at -3.77 eV/atom.

The space group is I4/mmm (No. 139) and the conventional cell measures 6.056, 6.056 and 21.539 Å, with angles of 90.00, 90.00 and 90.00 degrees. The asymmetric unit holds Nd at (0.000, 0.000, 0.207), Nd at (0.000, 0.500, 0.086), Tl at (0.000, 0.000, 0.067), In at (0.000, 0.000, 0.351) and In at (0.000, 0.000, 0.500).


## NdTlIn2 (PBE)

Data for NdTlIn2 after structural relaxation.

The calculation puts the total moment at 0.00 Bohr magnetons per cell. The formation energy comes out at -0.22 eV/atom. Its crystal system is tetragonal. The raw total energy comes out at -3.37 eV/atom.

The space group is P4/mmm (No. 123) and the conventional cell measures 3.934, 3.934 and 7.299 Å, with angles of 90.00, 90.00 and 90.00 degrees. The asymmetric unit holds Nd at (0.000, 0.000, 0.000), Tl at (0.000, 0.000, 0.500) and In at (0.500, 0.500, 0.267).


## Nd7TlIn5 (PBE)

Data for Nd7TlIn5 after structural relaxation.

The calculation puts the total moment at 0.00 Bohr magnetons per cell. The formation energy comes out at -0.28 eV/atom. Its crystal system is orthorhombic. The raw total energy comes out at -4.08 eV/atom.

The space group is Imm2 (No. 44) and the conventional cell measures 6.749, 10.678 and 11.182 Å, with angles of 90.00, 90.00 and 90.00 degrees. The asymmetric unit holds Nd at (0.000, 0.000, 0.000), Nd at (0.000, 0.000, 0.357), Nd at (0.000, 0.320, 0.607), Nd at (0.000, 0.323, 0.098), Nd at (0.000, 0.500, 0.335), Tl at (0.000, 0.000, 0.656), In at (0.000, 0.500, 0.851) and In at (0.233, 0.242, 0.857).